Here is a geometry-optimized MgZr2PdPt5 structure from the Alexandria database. Energies are from PBE.

Structure (CIF):
```
data_MgZr2PdPt5
_chemical_formula_sum 'Mg4 Zr8 Pd4 Pt20'
_cell_length_a 7.993
_cell_length_b 7.993
_cell_length_c 10.728
_cell_angle_alpha 90.00
_cell_angle_beta 90.00
_cell_angle_gamma 90.00
_space_group_name_H-M_alt 'I 4/m c m'
_space_group_IT_number 140
_space_group_name_Hall '-I 4 2c'
loop_
_atom_site_label
_atom_site_type_symbol
_atom_site_fract_x
_atom_site_fract_y
_atom_site_fract_z
_atom_site_occupancy
Mg1 Mg 0.000 0.000 0.250 1
Zr1 Zr 0.121 0.379 0.000 1
Pd1 Pd 0.000 0.500 0.250 1
Pt1 Pt 0.000 0.000 0.000 1
Pt2 Pt 0.199 0.301 0.366 1
```

Results
theoretical density: 12487 kg/m3
VASP energy: -6.37 eV/atom
DOS at the Fermi energy: 0.595 states/eV/atom
calculated volume: 171 Å³/f.u.



Here is a geometry-optimized MgZrPdPt structure from the Alexandria database. Energies are from PBE.

Structure (CIF):
```
data_MgZrPdPt
_chemical_formula_sum 'Mg4 Zr4 Pd4 Pt4'
_cell_length_a 6.554
_cell_length_b 6.554
_cell_length_c 6.554
_cell_angle_alpha 90.00
_cell_angle_beta 90.00
_cell_angle_gamma 90.00
_space_group_name_H-M_alt 'F -4 3 m'
_space_group_IT_number 216
_space_group_name_Hall 'F -4 2 3'
loop_
_atom_site_label
_atom_site_type_symbol
_atom_site_fract_x
_atom_site_fract_y
_atom_site_fract_z
_atom_site_occupancy
Mg1 Mg 0.000 0.000 0.000 1
Zr1 Zr 0.000 0.000 0.500 1
Pd1 Pd 0.250 0.250 0.750 1
Pt1 Pt 0.250 0.250 0.250 1
```

Results
theoretical density: 9837 kg/m3
VASP energy: -6.21 eV/atom
DOS at the Fermi energy: 0.488 states/eV/atom
calculated volume: 70 Å³/f.u.



Here is a geometry-optimized MgZr2PdPt structure from the Alexandria database. Energies are from PBE.

Structure (CIF):
```
data_MgZr2PdPt
_chemical_formula_sum 'Mg1 Zr2 Pd1 Pt1'
_cell_length_a 5.009
_cell_length_b 5.009
_cell_length_c 4.363
_cell_angle_alpha 90.00
_cell_angle_beta 90.00
_cell_angle_gamma 90.00
_space_group_name_H-M_alt 'P 4/m m m'
_space_group_IT_number 123
_space_group_name_Hall '-P 4 2'
loop_
_atom_site_label
_atom_site_type_symbol
_atom_site_fract_x
_atom_site_fract_y
_atom_site_fract_z
_atom_site_occupancy
Mg1 Mg 0.000 0.000 0.000 1
Zr1 Zr 0.000 0.500 0.000 1
Pd1 Pd 0.000 0.000 0.500 1
Pt1 Pt 0.500 0.500 0.500 1
```

Results
theoretical density: 7709 kg/m3
VASP energy: -5.19 eV/atom
DOS at the Fermi energy: 1.103 states/eV/atom
calculated volume: 109 Å³/f.u.



Here is a geometry-optimized Pu2MgPd structure from the Alexandria database. Energies are from PBE.

Structure (CIF):
```
data_Pu2MgPd
_chemical_formula_sum 'Pu2 Mg1 Pd1'
_cell_length_a 3.913
_cell_length_b 3.913
_cell_length_c 6.134
_cell_angle_alpha 90.00
_cell_angle_beta 90.00
_cell_angle_gamma 90.00
_space_group_name_H-M_alt 'P 4/m m m'
_space_group_IT_number 123
_space_group_name_Hall '-P 4 2'
loop_
_atom_site_label
_atom_site_type_symbol
_atom_site_fract_x
_atom_site_fract_y
_atom_site_fract_z
_atom_site_occupancy
Pu1 Pu 0.000 0.000 0.230 1
Mg1 Mg 0.500 0.500 0.500 1
Pd1 Pd 0.500 0.500 0.000 1
```

Results
theoretical density: 10938 kg/m3
E above lowest polymorph: 0 meV/atom
DOS at the Fermi energy: 3.889 states/eV/atom
calculated volume: 94 Å³/f.u.



Here is a geometry-optimized PuMg2Pd structure from the Alexandria database. Energies are from PBE.

Structure (CIF):
```
data_PuMg2Pd
_chemical_formula_sum 'Pu3 Mg6 Pd3'
_cell_length_a 3.1090
_cell_length_b 3.1090
_cell_length_c 29.6315
_cell_angle_alpha 90.00
_cell_angle_beta 90.00
_cell_angle_gamma 120.00
_space_group_name_H-M_alt 'R 3 m'
_space_group_IT_number 160
_space_group_name_Hall 'R 3 -2"'
loop_
_atom_site_label
_atom_site_type_symbol
_atom_site_fract_x
_atom_site_fract_y
_atom_site_fract_z
_atom_site_occupancy
Pu1 Pu 0.0000 0.0000 0.0000 1
Mg1 Mg 0.0000 0.0000 0.5690 1
Mg2 Mg 0.0000 0.0000 0.7643 1
Pd1 Pd 0.0000 0.0000 0.1666 1
```

Results
theoretical density: 8014 kg/m3
VASP energy: -5.86 eV/atom
DOS at the Fermi energy: 1.851 states/eV/atom
calculated volume: 83 Å³/f.u.



Here is a geometry-optimized Pu2MgPd structure from the Alexandria database. Energies are from PBE.

Structure (CIF):
```
data_Pu2MgPd
_chemical_formula_sum 'Pu6 Mg3 Pd3'
_cell_length_a 2.9819
_cell_length_b 2.9819
_cell_length_c 34.4318
_cell_angle_alpha 90.00
_cell_angle_beta 90.00
_cell_angle_gamma 120.00
_space_group_name_H-M_alt 'R -3 m'
_space_group_IT_number 166
_space_group_name_Hall '-R 3 2"'
loop_
_atom_site_label
_atom_site_type_symbol
_atom_site_fract_x
_atom_site_fract_y
_atom_site_fract_z
_atom_site_occupancy
Pu1 Pu 0.0000 0.0000 0.0934 1
Mg1 Mg 0.0000 0.0000 0.0000 1
Pd1 Pd 0.0000 0.0000 0.5000 1
```

Results
theoretical density: 11625 kg/m3
E above lowest polymorph: 258 meV/atom
DOS at the Fermi energy: 2.709 states/eV/atom
calculated volume: 88 Å³/f.u.



Here is a geometry-optimized PuMg3Pd12 structure from the Alexandria database. Energies are from PBE.

Structure (CIF):
```
data_PuMg3Pd12
_chemical_formula_sum 'Pu1 Mg3 Pd12'
_cell_length_a 4.046
_cell_length_b 4.046
_cell_length_c 15.837
_cell_angle_alpha 90.00
_cell_angle_beta 90.00
_cell_angle_gamma 90.00
_space_group_name_H-M_alt 'P 4/m m m'
_space_group_IT_number 123
_space_group_name_Hall '-P 4 2'
loop_
_atom_site_label
_atom_site_type_symbol
_atom_site_fract_x
_atom_site_fract_y
_atom_site_fract_z
_atom_site_occupancy
Pu1 Pu 0.000 0.000 0.000 1
Mg1 Mg 0.000 0.000 0.257 1
Mg2 Mg 0.000 0.000 0.500 1
Pd1 Pd 0.000 0.500 0.132 1
Pd2 Pd 0.000 0.500 0.379 1
Pd3 Pd 0.500 0.500 0.000 1
Pd4 Pd 0.500 0.500 0.257 1
Pd5 Pd 0.500 0.500 0.500 1
```

Results
theoretical density: 10208 kg/m3
VASP energy: -5.58 eV/atom
DOS at the Fermi energy: 1.788 states/eV/atom
calculated volume: 259 Å³/f.u.



Here is a geometry-optimized PuMg2Pd3 structure from the Alexandria database. Energies are from PBE.

Structure (CIF):
```
data_PuMg2Pd3
_chemical_formula_sum 'Pu1 Mg2 Pd3'
_cell_length_a 3.241
_cell_length_b 3.241
_cell_length_c 10.235
_cell_angle_alpha 90.00
_cell_angle_beta 90.00
_cell_angle_gamma 90.00
_space_group_name_H-M_alt 'P 4/m m m'
_space_group_IT_number 123
_space_group_name_Hall '-P 4 2'
loop_
_atom_site_label
_atom_site_type_symbol
_atom_site_fract_x
_atom_site_fract_y
_atom_site_fract_z
_atom_site_occupancy
Pu1 Pu 0.000 0.000 0.000 1
Mg1 Mg 0.000 0.000 0.348 1
Pd1 Pd 0.500 0.500 0.198 1
Pd2 Pd 0.500 0.500 0.500 1
```

Results
theoretical density: 9452 kg/m3
VASP energy: -6.12 eV/atom
DOS at the Fermi energy: 1.545 states/eV/atom
calculated volume: 107 Å³/f.u.